[1]
Crystalline Mn2IrBr at its relaxed geometry. Source: Alexandria via LeMat-Bulk, functional PBE.

Structure (CIF):
```
data_Mn2IrBr
_cell_length_a 4.718
_cell_length_b 4.718
_cell_length_c 3.065
_cell_angle_alpha 90.00
_cell_angle_beta 90.00
_cell_angle_gamma 90.00
_space_group_name_H-M_alt 'P 1'
_space_group_IT_number 1
loop_
_space_group_symop_operation_xyz
'x,y,z'
loop_
_atom_site_label
_atom_site_type_symbol
_atom_site_fract_x
_atom_site_fract_y
_atom_site_fract_z
_atom_site_occupancy
Mn1 Mn 0.000 0.500 0.000 1
Mn2 Mn 0.500 0.000 0.000 1
Ir1 Ir 0.000 0.000 0.500 1
Br1 Br 0.500 0.500 0.500 1
```

Properties
polymorph energy (0 for the lowest one): 0.351 eV per atom
SG: No. 123
formation energy without anion corrections: 449 meV/atom

***

[2]
Crystalline MnIr2Br at its relaxed geometry. Source: Alexandria via LeMat-Bulk, functional PBE.

Structure (CIF):
```
data_MnIr2Br
_cell_length_a 2.699
_cell_length_b 2.699
_cell_length_c 11.099
_cell_angle_alpha 90.00
_cell_angle_beta 90.00
_cell_angle_gamma 90.00
_space_group_name_H-M_alt 'P 1'
_space_group_IT_number 1
loop_
_space_group_symop_operation_xyz
'x,y,z'
loop_
_atom_site_label
_atom_site_type_symbol
_atom_site_fract_x
_atom_site_fract_y
_atom_site_fract_z
_atom_site_occupancy
Mn1 Mn 0.000 0.000 0.000 1
Ir1 Ir 0.500 0.500 0.156 1
Ir2 Ir 0.500 0.500 0.844 1
Br1 Br 0.000 0.000 0.500 1
```

Properties
polymorph energy (0 for the lowest one): 0.162 eV per atom
SG: No. 123
formation energy without anion corrections: 538 meV/atom

***

[3]
Crystalline MnIr2Br at its relaxed geometry. Source: Alexandria via LeMat-Bulk, functional PBE.

Structure (CIF):
```
data_MnIr2Br
_cell_length_a 4.786
_cell_length_b 4.786
_cell_length_c 4.786
_cell_angle_alpha 129.93
_cell_angle_beta 129.93
_cell_angle_gamma 73.52
_space_group_name_H-M_alt 'P 1'
_space_group_IT_number 1
loop_
_space_group_symop_operation_xyz
'x,y,z'
loop_
_atom_site_label
_atom_site_type_symbol
_atom_site_fract_x
_atom_site_fract_y
_atom_site_fract_z
_atom_site_occupancy
Mn1 Mn 0.000 0.000 0.000 1
Ir1 Ir 0.250 0.750 0.500 1
Ir2 Ir 0.750 0.250 0.500 1
Br1 Br 0.500 0.500 0.000 1
```

Properties
polymorph energy (0 for the lowest one): 0.447 eV per atom
SG: No. 139
formation energy without anion corrections: 823 meV/atom

***

[4]
Crystalline MnIrBr at its relaxed geometry. Source: Alexandria via LeMat-Bulk, functional PBE.

Structure (CIF):
```
data_MnIrBr
_cell_length_a 4.387
_cell_length_b 4.387
_cell_length_c 3.087
_cell_angle_alpha 90.00
_cell_angle_beta 90.00
_cell_angle_gamma 120.00
_space_group_name_H-M_alt 'P 1'
_space_group_IT_number 1
loop_
_space_group_symop_operation_xyz
'x,y,z'
loop_
_atom_site_label
_atom_site_type_symbol
_atom_site_fract_x
_atom_site_fract_y
_atom_site_fract_z
_atom_site_occupancy
Mn1 Mn 0.000 0.000 0.000 1
Ir1 Ir 0.667 0.333 0.496 1
Br1 Br 0.333 0.667 0.504 1
```

Properties
polymorph energy (0 for the lowest one): 0.342 eV per atom
SG: No. 156
formation energy without anion corrections: 680 meV/atom